First-principles (PBE-GGA) data for a relaxed structure of Na8LiCd2, as listed in Alexandria.

## Properties
**Energy above the lowest structure with this stoichiometry**: 0.031 eV per atom
**Total energy**: -28.19 eV for the cell shown
**Formation energy**: 0.02 eV/atom

Lattice parameters (Å, degrees): 9.0464 14.7450 5.8756 90.00 112.95 90.00
Closest atoms and distances in Å follow each position.
Space group C2/m (No. 12)
One atom of each set of equivalent atoms:
1 Na 0.0000 0.2240 0.0000 [4 per cell]  2 Cd 3.20, 1 Li 3.30
2 Na 0.1131 0.5000 0.8083 [4 per cell]  1 Li 3.23, 2 Cd 3.27, 4 Na 3.40-3.60
3 Na 0.2027 0.1187 0.6132 [8 per cell]  2 Cd 3.19-3.29, 2 Na 3.38-3.50
4 Li 0.0000 0.0000 0.0000 [2 per cell]  4 Na 3.23-3.30
5 Cd 0.0000 0.3105 0.5000 [4 per cell]  8 Na 3.19-3.29



First-principles (PBE-GGA) data for a relaxed structure of Na12LiCd6, as listed in Alexandria.

## Properties
**Total energy**: -73.86 eV for the cell shown
**Formation energy**: -0.07 eV/atom

Lattice parameters (Å, degrees): 11.2752 11.2752 14.7879 90.00 90.00 120.00
Closest atoms and distances in Å follow each position.
Space group R-3 (No. 148, hexagonal axes)
One atom of each set of equivalent atoms:
1 Na 0.0360 0.1916 0.3123 [18 per cell]  5 Na 3.14-3.51, 3 Cd 3.32-3.40, 1 Li 3.41
2 Na 0.0609 0.8389 0.9137 [18 per cell]  4 Cd 3.28-3.60, 5 Na 3.40-3.51
3 Li 0.0000 0.0000 0.5000 [3 per cell]  6 Cd 2.97
4 Cd 0.0451 0.4508 0.2000 [18 per cell]  1 Li 2.97, 2 Cd 3.09, 3 Na 3.28-3.32



First-principles (PBE-GGA) data for a relaxed structure of NaLi3Cd, as listed in Alexandria.

## Properties
**Energy above the lowest structure with this stoichiometry**: 0.160 eV per atom
**Total energy**: -7.53 eV for the cell shown
**Formation energy**: 0.09 eV/atom

Lattice parameters (Å, degrees): 5.2196 5.2196 5.2196 90.00 90.00 90.00
Closest atoms and distances in Å follow each position.
Space group Pm-3m (No. 221)
One atom of each set of equivalent atoms:
1 Na 0.0000 0.0000 0.0000 [1 per cell]  12 Li 3.69
2 Li 0.0000 0.5000 0.5000 [3 per cell]  2 Cd 2.61
3 Cd 0.5000 0.5000 0.5000 [1 per cell]  6 Li 2.61



First-principles (PBE-GGA) data for a relaxed structure of NaLi15Cd4, as listed in Alexandria.

## Properties
**Total energy**: -36.12 eV for the cell shown
**Formation energy**: -0.12 eV/atom

Lattice parameters (Å, degrees): 4.4089 4.4089 19.9830 90.00 90.00 90.00
Closest atoms and distances in Å follow each position.
Space group P4/mmm (No. 123)
One atom of each set of equivalent atoms:
1 Na 0.0000 0.0000 0.0000 [1 per cell]  12 Li 3.12-3.22
2 Li 0.0000 0.5000 0.1178 [4 per cell]  8 Li 2.90-3.22, 2 Cd 2.91, 2 Na 3.22
3 Li 0.0000 0.5000 0.3089 [4 per cell]  8 Li 2.90-3.12, 4 Cd 2.90-2.92
4 Li 0.0000 0.5000 0.5000 [2 per cell]  4 Cd 2.93, 8 Li 2.93-3.12
5 Li 0.5000 0.5000 0.0000 [1 per cell]  4 Na 3.12, 8 Li 3.22
6 Li 0.5000 0.5000 0.2121 [2 per cell]  8 Li 2.90-2.93, 4 Cd 3.12
7 Li 0.5000 0.5000 0.4033 [2 per cell]  8 Li 2.90-2.93, 4 Cd 3.12
8 Cd 0.0000 0.0000 0.2131 [2 per cell]  12 Li 2.91-3.12
9 Cd 0.0000 0.0000 0.4035 [2 per cell]  12 Li 2.90-3.12



First-principles (PBE-GGA) data for a relaxed structure of Na2Li4Cd, as listed in Alexandria.

## Properties
**Total energy**: -22.79 eV for the cell shown
**Formation energy**: -0.03 eV/atom

Lattice parameters (Å, degrees): 9.9532 3.1924 10.8333 90.00 98.57 90.00
Closest atoms and distances in Å follow each position.
Space group C2/m (No. 12)
One atom of each set of equivalent atoms:
1 Na 0.1472 0.0000 0.0972 [4 per cell]  4 Li 3.16-3.44, 5 Na 3.19-3.53
2 Li 0.0859 0.0000 0.7247 [4 per cell]  2 Cd 2.93, 5 Li 2.95-3.19, 1 Na 3.23
3 Li 0.2019 0.0000 0.3921 [4 per cell]  7 Li 2.88-3.19, 3 Cd 2.94-3.02, 1 Na 3.16
4 Cd 0.0000 0.5000 0.5000 [2 per cell]  10 Li 2.93-3.02, 2 Cd 3.19



First-principles (PBE-GGA) data for a relaxed structure of NaLiCd5, as listed in Alexandria.

## Properties
**Total energy**: -16.26 eV for the cell shown
**Formation energy**: -0.05 eV/atom

Lattice parameters (Å, degrees): 5.9217 9.3683 6.1849 90.00 90.00 90.00
Closest atoms and distances in Å follow each position.
Space group Cmmm (No. 65)
One atom of each set of equivalent atoms:
1 Na 0.0000 0.0000 0.0000 [2 per cell]  10 Cd 3.09-3.17
2 Li 0.0000 0.5000 0.5000 [2 per cell]  10 Cd 2.96-3.17
3 Cd 0.0000 0.0000 0.5000 [2 per cell]  2 Li 2.96, 2 Na 3.09, 8 Cd 3.17
4 Cd 0.2500 0.2500 0.2505 [8 per cell]  6 Cd 2.96-3.17, 2 Li 3.17, 2 Na 3.17